Entry from the Alexandria database: YRhCl after structural relaxation (PBE).

The structure belongs to space group F-43m (No. 216); the cell edges are 6.484, 6.484 and 6.484 Å and the angles 90.00°, 90.00° and 90.00°. The asymmetric unit holds Y at (0.000, 0.000, 0.000), Rh at (0.250, 0.250, 0.250) and Cl at (0.000, 0.000, 0.500).

The value obtained for the volume is 22.7 Å³ per atom. The formation energy (no corrections) is -0.476 eV per atom. The total energy is -17.09 eV per formula unit.